Entry 1:
Compound: ZrTe3
Source: Alexandria via LeMat-Bulk
Functional: GGA-PBEsol
Structure: relaxed

The structure in POSCAR format:
```
ZrTe3
1.0
3.856 0.000 0.000
0.000 5.876 0.002
0.000 -1.362 9.909
Te Zr
6 2
Cartesian
0.964 0.783 4.387
2.892 5.142 1.580
0.964 2.232 8.275
0.964 -0.629 8.331
2.892 2.281 1.636
2.892 3.730 5.525
2.892 0.788 6.636
0.964 3.725 3.275
```

Results
Energy in eV per cell: -45.13
Space group: P2_1/m
Energy relative to the elements, uncorrected in meV per atom: -725


Entry 2:
Compound: Zr2Te
Source: Alexandria via LeMat-Bulk
Functional: GGA-PBEsol
Structure: relaxed

The structure in POSCAR format:
```
Zr2Te
1.0
3.655 0.000 0.000
0.000 5.969 0.000
0.000 0.000 7.024
Te Zr
2 4
Cartesian
0.000 0.000 0.000
1.828 2.985 3.512
0.000 1.158 4.526
1.828 1.827 1.014
1.828 4.143 6.010
0.000 4.811 2.498
```

Results
Energy in eV per cell: -44.19
Space group: Pnnm
Energy relative to the elements, uncorrected in meV per atom: -130


Entry 3:
Compound: Th
Source: Alexandria via LeMat-Bulk
Functional: GGA-PBEsol
Structure: relaxed

The structure in POSCAR format:
```
Th
1.0
-0.505 -0.906 -3.359
-1.692 -2.981 -0.781
-3.228 0.122 -1.388
Th
1
Cartesian
0.000 0.000 0.000
```

Results
Energy in eV per cell: -8.11
E above lowest polymorph in meV/atom: 0
Space group: Fm-3m
DFT formation energy in kJ/mol of formula units: 0


Entry 4:
Compound: Th
Source: Alexandria via LeMat-Bulk
Functional: GGA-PBEsol
Structure: relaxed

The structure in POSCAR format:
```
Th
1.0
4.947 0.000 0.000
2.473 4.284 0.000
2.473 1.428 4.039
Th
2
Cartesian
7.420 4.284 3.029
4.947 2.856 2.020
```

Results
Energy in eV per cell: -12.10
E above lowest polymorph in meV/atom: 2059
Space group: Fd-3m
DFT formation energy in kJ/mol of formula units: 199